VASP calculation (PBE) on a relaxed structure of Tb8Tl2Zn.

The structure in POSCAR format:
```
Tb8Tl2Zn
1.0
-4.0810 -2.1513 -2.4046
4.2077 -3.2946 -4.1934
0.9587 -4.8536 8.3426
Tb Tl Zn
8 2 1
Cartesian
1.3868 -6.6285 3.5766 Tb
1.7331 -6.1037 -3.1082 Tb
0.2496 -6.8891 0.1121 Tb
-2.1284 -7.5670 4.7542 Tb
0.8358 -3.4103 1.6325 Tb
-0.6476 -4.1957 4.8528 Tb
-0.3013 -3.6709 -1.8320 Tb
3.2138 -2.7325 -3.0096 Tb
-1.6540 -5.6531 2.2368 Tl
2.7394 -4.6464 -0.4922 Tl
-2.0405 -1.0756 -1.2023 Zn
```

Results
Formation energy ... -0.15 eV/atom
Crystal system ... monoclinic
Space-group type ... C2/m (12)
DOS(E_F) ... 12.3 states/eV/f.u.

***

VASP calculation (PBE) on a relaxed structure of CaAcThN3.

The structure in POSCAR format:
```
CaAcThN3
1.0
-1.9269 2.8930 -0.8475
-1.7915 0.8668 7.0322
8.0641 5.8103 1.4996
Ca Ac Th N
2 2 2 6
Cartesian
3.6915 4.1078 1.8534 Ca
0.6543 5.4624 5.8309 Ca
3.2986 7.4587 6.6331 Ac
1.0471 2.1115 1.0512 Ac
-0.5803 2.0077 4.3971 Th
4.9261 7.5624 3.2872 Th
2.8358 4.9441 6.6536 N
-1.3796 3.9930 5.4392 N
-1.3405 3.0893 2.2653 N
1.5099 4.6261 1.0307 N
5.6862 6.4809 5.4191 N
5.7254 5.5772 2.2451 N
```

Results
Crystal system ... monoclinic
Space-group type ... P2_1/m (11)
Uncorrected formation energy ... -1.06 eV/atom

***

VASP calculation (PBE) on a relaxed structure of Mg2TlCdPt.

The structure in POSCAR format:
```
Mg2TlCdPt
1.0
5.0490 0.0000 0.0000
0.0000 5.0490 0.0000
0.0000 0.0000 5.2654
Tl Mg Pt Cd
1 2 1 1
Cartesian
2.5245 2.5245 2.6327 Tl
0.0000 2.5245 0.0000 Mg
2.5245 0.0000 0.0000 Mg
0.0000 0.0000 0.0000 Pt
0.0000 0.0000 2.6327 Cd
```

Results
Formation energy ... -0.22 eV/atom
Crystal system ... tetragonal
Space-group type ... P4/mmm (123)
DOS(E_F) ... 2.7 states/eV/f.u.

***

VASP calculation (PBE) on a relaxed structure of Ac3Sm2Pb4.

The structure in POSCAR format:
```
Ac3Sm2Pb4
1.0
7.4073 -5.2011 3.0851
5.1728 1.9332 7.8065
-8.7037 -1.5924 -3.6260
Ac Sm Pb
3 2 4
Cartesian
7.8223 -2.0319 6.7724 Ac
4.7578 -1.2359 4.1192 Ac
-1.7654 0.1704 2.0903 Ac
1.9869 -0.5161 1.7203 Sm
10.5932 -2.7517 9.1713 Sm
-0.9288 -4.8676 -0.3876 Pb
1.2899 -0.6232 4.7354 Pb
-0.3675 -1.9259 -0.1534 Pb
2.5866 -4.2370 2.5301 Pb
```

Results
Formation energy ... -0.45 eV/atom
Crystal system ... orthorhombic
Space-group type ... Immm (71)
DOS(E_F) ... 5.0 states/eV/f.u.
Offset from the most stable computed form ... 0 meV/atom